[1]
# TaAlPb2 GGA-PBE relaxed
# - Size of the total moment: 0.0 μB/cell
# - ΔE_f: 0.6361 eV/atom
# - Symmetry: P4/mmm
data_TaAlPb2
_cell_length_a 4.929
_cell_length_b 4.929
_cell_length_c 3.700
_cell_angle_alpha 90.00
_cell_angle_beta 90.00
_cell_angle_gamma 90.00
_space_group_name_H-M_alt 'P 1'
_space_group_IT_number 1
loop_
_space_group_symop_operation_xyz
'x,y,z'
loop_
_atom_site_label
_atom_site_fract_x
_atom_site_fract_y
_atom_site_fract_z
Ta1 0.000 0.000 0.000
Al1 0.500 0.500 0.000
Pb1 0.000 0.500 0.500
Pb2 0.500 0.000 0.500

***

[2]
# DyHoErZr GGA-PBE relaxed
# - Size of the total moment: 2.8 μB/cell
# - ΔE_f: 0.2090 eV/atom
# - Symmetry: F-43m
data_DyHoErZr
_cell_length_a 5.477
_cell_length_b 5.477
_cell_length_c 5.477
_cell_angle_alpha 60.00
_cell_angle_beta 60.00
_cell_angle_gamma 60.00
_space_group_name_H-M_alt 'P 1'
_space_group_IT_number 1
loop_
_space_group_symop_operation_xyz
'x,y,z'
loop_
_atom_site_label
_atom_site_fract_x
_atom_site_fract_y
_atom_site_fract_z
Dy1 0.000 0.000 0.000
Ho1 0.250 0.250 0.250
Er1 0.750 0.750 0.750
Zr1 0.500 0.500 0.500

***

[3]
# AgSnAsBr2 GGA-PBE relaxed
# - Size of the total moment: 0.3 μB/cell
# - Raw total energy: -2.70 eV per atom
# - Symmetry: P4/mmm
data_AgSnAsBr2
_cell_length_a 5.244
_cell_length_b 5.244
_cell_length_c 5.230
_cell_angle_alpha 90.00
_cell_angle_beta 90.00
_cell_angle_gamma 90.00
_space_group_name_H-M_alt 'P 1'
_space_group_IT_number 1
loop_
_space_group_symop_operation_xyz
'x,y,z'
loop_
_atom_site_label
_atom_site_fract_x
_atom_site_fract_y
_atom_site_fract_z
Ag1 0.000 0.000 0.000
Sn1 0.500 0.500 0.500
As1 0.000 0.000 0.500
Br1 0.000 0.500 0.000
Br2 0.500 0.000 0.000

***

[4]
# Sm3Au GGA-PBE relaxed
# - Size of the total moment: 0.0 μB/cell
# - ΔE_f: -0.1822 eV/atom
# - Symmetry: Pmm2
data_Sm3Au
_cell_length_a 3.681
_cell_length_b 3.741
_cell_length_c 9.467
_cell_angle_alpha 90.00
_cell_angle_beta 90.00
_cell_angle_gamma 90.00
_space_group_name_H-M_alt 'P 1'
_space_group_IT_number 1
loop_
_space_group_symop_operation_xyz
'x,y,z'
loop_
_atom_site_label
_atom_site_fract_x
_atom_site_fract_y
_atom_site_fract_z
Sm1 0.000 0.000 0.000
Sm2 0.000 0.500 0.327
Sm3 0.500 0.500 0.732
Au1 0.500 0.000 0.476

***

[5]
# ZnPPbO2 GGA-PBE relaxed
# - Size of the total moment: 0.8 μB/cell
# - Raw total energy: -4.11 eV per atom
# - Symmetry: P4/mmm
data_ZnPPbO2
_cell_length_a 3.990
_cell_length_b 3.990
_cell_length_c 4.879
_cell_angle_alpha 90.00
_cell_angle_beta 90.00
_cell_angle_gamma 90.00
_space_group_name_H-M_alt 'P 1'
_space_group_IT_number 1
loop_
_space_group_symop_operation_xyz
'x,y,z'
loop_
_atom_site_label
_atom_site_fract_x
_atom_site_fract_y
_atom_site_fract_z
Zn1 0.000 0.000 0.000
P1 0.000 0.000 0.500
Pb1 0.500 0.500 0.500
O1 0.000 0.500 0.000
O2 0.500 0.000 0.000

***

[6]
# Th4CoBi2 GGA-PBE relaxed
# - Size of the total moment: 0.0 μB/cell
# - ΔE_f: -0.3566 eV/atom
# - Symmetry: I4/mmm
data_Th4CoBi2
_cell_length_a 9.558
_cell_length_b 9.558
_cell_length_c 9.558
_cell_angle_alpha 150.08
_cell_angle_beta 150.08
_cell_angle_gamma 42.83
_space_group_name_H-M_alt 'P 1'
_space_group_IT_number 1
loop_
_space_group_symop_operation_xyz
'x,y,z'
loop_
_atom_site_label
_atom_site_fract_x
_atom_site_fract_y
_atom_site_fract_z
Th1 0.000 0.500 0.500
Th2 0.170 0.170 0.000
Th3 0.500 0.000 0.500
Th4 0.830 0.830 0.000
Co1 0.000 0.000 0.000
Bi1 0.358 0.358 0.000
Bi2 0.642 0.642 0.000

***

[7]
# CaPrS2O8 GGA-PBE relaxed
# - Size of the total moment: 0.4 μB/cell
# - Raw total energy: -6.55 eV per atom
# - Symmetry: P-3m1
data_CaPrS2O8
_cell_length_a 5.211
_cell_length_b 5.211
_cell_length_c 7.711
_cell_angle_alpha 90.00
_cell_angle_beta 90.00
_cell_angle_gamma 120.00
_space_group_name_H-M_alt 'P 1'
_space_group_IT_number 1
loop_
_space_group_symop_operation_xyz
'x,y,z'
loop_
_atom_site_label
_atom_site_fract_x
_atom_site_fract_y
_atom_site_fract_z
Ca1 0.000 0.000 0.000
Pr1 0.000 0.000 0.500
S1 0.333 0.667 0.812
S2 0.667 0.333 0.188
O1 0.177 0.354 0.747
O2 0.177 0.823 0.747
O3 0.333 0.667 0.002
O4 0.354 0.177 0.253
O5 0.646 0.823 0.747
O6 0.667 0.333 0.998
O7 0.823 0.177 0.253
O8 0.823 0.646 0.253

***

[8]
# Al2AgMo GGA-PBE relaxed
# - Size of the total moment: 0.0 μB/cell
# - ΔE_f: 0.0845 eV/atom
# - Symmetry: R3m
data_Al2AgMo
_cell_length_a 9.197
_cell_length_b 9.197
_cell_length_c 9.197
_cell_angle_alpha 18.05
_cell_angle_beta 18.05
_cell_angle_gamma 18.05
_space_group_name_H-M_alt 'P 1'
_space_group_IT_number 1
loop_
_space_group_symop_operation_xyz
'x,y,z'
loop_
_atom_site_label
_atom_site_fract_x
_atom_site_fract_y
_atom_site_fract_z
Al1 0.000 0.000 0.000
Al2 0.250 0.250 0.250
Ag1 0.748 0.748 0.748
Mo1 0.504 0.504 0.504

***

[9]
# Ho2HfTl GGA-PBE relaxed
# - Size of the total moment: 0.0 μB/cell
# - ΔE_f: 0.3043 eV/atom
# - Symmetry: R-3m
data_Ho2HfTl
_cell_length_a 11.890
_cell_length_b 11.890
_cell_length_c 11.890
_cell_angle_alpha 15.96
_cell_angle_beta 15.96
_cell_angle_gamma 15.96
_space_group_name_H-M_alt 'P 1'
_space_group_IT_number 1
loop_
_space_group_symop_operation_xyz
'x,y,z'
loop_
_atom_site_label
_atom_site_fract_x
_atom_site_fract_y
_atom_site_fract_z
Ho1 0.090 0.090 0.090
Ho2 0.910 0.910 0.910
Hf1 0.000 0.000 0.000
Tl1 0.500 0.500 0.500

***

[10]
# ZrPt2W GGA-PBE relaxed
# - Size of the total moment: 0.0 μB/cell
# - ΔE_f: -0.1994 eV/atom
# - Symmetry: F-43m
data_ZrPt2W
_cell_length_a 4.587
_cell_length_b 4.587
_cell_length_c 4.587
_cell_angle_alpha 60.00
_cell_angle_beta 60.00
_cell_angle_gamma 60.00
_space_group_name_H-M_alt 'P 1'
_space_group_IT_number 1
loop_
_space_group_symop_operation_xyz
'x,y,z'
loop_
_atom_site_label
_atom_site_fract_x
_atom_site_fract_y
_atom_site_fract_z
Zr1 0.000 0.000 0.000
Pt1 0.250 0.250 0.250
Pt2 0.500 0.500 0.500
W1 0.750 0.750 0.750

***

[11]
# LiCaSmIn GGA-PBE relaxed
# - Size of the total moment: 0.0 μB/cell
# - ΔE_f: -0.2830 eV/atom
# - Symmetry: F-43m
data_LiCaSmIn
_cell_length_a 5.406
_cell_length_b 5.406
_cell_length_c 5.406
_cell_angle_alpha 60.00
_cell_angle_beta 60.00
_cell_angle_gamma 60.00
_space_group_name_H-M_alt 'P 1'
_space_group_IT_number 1
loop_
_space_group_symop_operation_xyz
'x,y,z'
loop_
_atom_site_label
_atom_site_fract_x
_atom_site_fract_y
_atom_site_fract_z
Li1 0.000 0.000 0.000
Ca1 0.250 0.250 0.250
Sm1 0.750 0.750 0.750
In1 0.500 0.500 0.500

***

[12]
# CeErTm2 GGA-PBE relaxed
# - Size of the total moment: 0.8 μB/cell
# - ΔE_f: 0.0559 eV/atom
# - Symmetry: R3m
data_CeErTm2
_cell_length_a 11.574
_cell_length_b 11.574
_cell_length_c 11.574
_cell_angle_alpha 17.33
_cell_angle_beta 17.33
_cell_angle_gamma 17.33
_space_group_name_H-M_alt 'P 1'
_space_group_IT_number 1
loop_
_space_group_symop_operation_xyz
'x,y,z'
loop_
_atom_site_label
_atom_site_fract_x
_atom_site_fract_y
_atom_site_fract_z
Ce1 0.000 0.000 0.000
Er1 0.165 0.165 0.165
Tm1 0.582 0.582 0.582
Tm2 0.750 0.750 0.750

***

[13]
# PmDy5TmSc2 GGA-PBE relaxed
# - Size of the total moment: 0.0 μB/cell
# - ΔE_f: 0.1676 eV/atom
# - Symmetry: Cmc2_1
data_PmDy5TmSc2
_cell_length_a 11.082
_cell_length_b 11.082
_cell_length_c 9.308
_cell_angle_alpha 90.00
_cell_angle_beta 90.00
_cell_angle_gamma 150.81
_space_group_name_H-M_alt 'P 1'
_space_group_IT_number 1
loop_
_space_group_symop_operation_xyz
'x,y,z'
loop_
_atom_site_label
_atom_site_fract_x
_atom_site_fract_y
_atom_site_fract_z
Pm1 0.184 0.816 0.500
Pm2 0.816 0.184 0.000
Dy1 0.010 0.990 0.505
Dy2 0.265 0.735 0.185
Dy3 0.307 0.693 0.799
Dy4 0.392 0.608 0.470
Dy5 0.468 0.532 0.770
Dy6 0.532 0.468 0.270
Dy7 0.608 0.392 0.970
Dy8 0.693 0.307 0.299
Dy9 0.735 0.265 0.685
Dy10 0.990 0.010 0.005
Tm1 0.403 0.597 0.097
Tm2 0.597 0.403 0.597
Sc1 0.113 0.887 0.193
Sc2 0.136 0.864 0.817
Sc3 0.864 0.136 0.317
Sc4 0.887 0.113 0.693

***

[14]
# AsOF GGA-PBE relaxed
# - Size of the total moment: 0.0 μB/cell
# - Raw total energy: -5.01 eV per atom
# - Symmetry: P3m1
data_AsOF
_cell_length_a 3.275
_cell_length_b 3.275
_cell_length_c 4.891
_cell_angle_alpha 90.00
_cell_angle_beta 90.00
_cell_angle_gamma 120.00
_space_group_name_H-M_alt 'P 1'
_space_group_IT_number 1
loop_
_space_group_symop_operation_xyz
'x,y,z'
loop_
_atom_site_label
_atom_site_fract_x
_atom_site_fract_y
_atom_site_fract_z
As1 0.000 0.000 0.000
O1 0.333 0.667 0.175
F1 0.667 0.333 0.738

***

[15]
# LiAc2Tm GGA-PBE relaxed
# - Size of the total moment: 0.0 μB/cell
# - ΔE_f: 0.1005 eV/atom
# - Symmetry: R3m
data_LiAc2Tm
_cell_length_a 11.943
_cell_length_b 11.943
_cell_length_c 11.943
_cell_angle_alpha 18.31
_cell_angle_beta 18.31
_cell_angle_gamma 18.31
_space_group_name_H-M_alt 'P 1'
_space_group_IT_number 1
loop_
_space_group_symop_operation_xyz
'x,y,z'
loop_
_atom_site_label
_atom_site_fract_x
_atom_site_fract_y
_atom_site_fract_z
Li1 0.000 0.000 0.000
Ac1 0.416 0.416 0.416
Ac2 0.583 0.583 0.583
Tm1 0.833 0.833 0.833

***

[16]
# MgCd2Pt GGA-PBE relaxed
# - Size of the total moment: 0.0 μB/cell
# - ΔE_f: -0.3595 eV/atom
# - Symmetry: Imm2
data_MgCd2Pt
_cell_length_a 5.186
_cell_length_b 5.186
_cell_length_c 5.186
_cell_angle_alpha 132.71
_cell_angle_beta 132.60
_cell_angle_gamma 69.20
_space_group_name_H-M_alt 'P 1'
_space_group_IT_number 1
loop_
_space_group_symop_operation_xyz
'x,y,z'
loop_
_atom_site_label
_atom_site_fract_x
_atom_site_fract_y
_atom_site_fract_z
Mg1 0.000 0.000 0.000
Cd1 0.499 0.499 0.000
Cd2 0.750 0.250 0.500
Pt1 0.249 0.749 0.500

***

[17]
# ZnReHI GGA-PBE relaxed
# - Size of the total moment: 0.0 μB/cell
# - Raw total energy: -4.04 eV per atom
# - Symmetry: P1
data_ZnReHI
_cell_length_a 2.794
_cell_length_b 3.270
_cell_length_c 8.428
_cell_angle_alpha 89.89
_cell_angle_beta 80.56
_cell_angle_gamma 90.00
_space_group_name_H-M_alt 'P 1'
_space_group_IT_number 1
loop_
_space_group_symop_operation_xyz
'x,y,z'
loop_
_atom_site_label
_atom_site_fract_x
_atom_site_fract_y
_atom_site_fract_z
Zn1 0.000 0.000 0.000
Re1 0.408 0.499 0.186
H1 0.836 0.498 0.332
I1 0.169 0.002 0.659

***

[18]
# ReNiP3 GGA-PBE relaxed
# - Size of the total moment: 0.0 μB/cell
# - ΔE_f: 0.9605 eV/atom
# - Symmetry: Pm-3m
data_ReNiP3
_cell_length_a 4.601
_cell_length_b 4.601
_cell_length_c 4.601
_cell_angle_alpha 90.00
_cell_angle_beta 90.00
_cell_angle_gamma 90.00
_space_group_name_H-M_alt 'P 1'
_space_group_IT_number 1
loop_
_space_group_symop_operation_xyz
'x,y,z'
loop_
_atom_site_label
_atom_site_fract_x
_atom_site_fract_y
_atom_site_fract_z
Re1 0.000 0.000 0.000
Ni1 0.500 0.500 0.500
P1 0.000 0.000 0.500
P2 0.000 0.500 0.000
P3 0.500 0.000 0.000

***

[19]
# KRu2Rh GGA-PBE relaxed
# - Size of the total moment: 0.0 μB/cell
# - ΔE_f: 0.5937 eV/atom
# - Symmetry: P4mm
data_KRu2Rh
_cell_length_a 2.810
_cell_length_b 2.810
_cell_length_c 9.089
_cell_angle_alpha 90.00
_cell_angle_beta 90.00
_cell_angle_gamma 90.00
_space_group_name_H-M_alt 'P 1'
_space_group_IT_number 1
loop_
_space_group_symop_operation_xyz
'x,y,z'
loop_
_atom_site_label
_atom_site_fract_x
_atom_site_fract_y
_atom_site_fract_z
K1 0.000 0.000 0.000
Ru1 0.000 0.000 0.498
Ru2 0.500 0.500 0.682
Rh1 0.500 0.500 0.298

***

[20]
# ZnGaAu3 GGA-PBE relaxed
# - Size of the total moment: 0.0 μB/cell
# - ΔE_f: -0.1167 eV/atom
# - Symmetry: P2_1/m
data_ZnGaAu3
_cell_length_a 4.794
_cell_length_b 6.857
_cell_length_c 6.156
_cell_angle_alpha 90.00
_cell_angle_beta 111.17
_cell_angle_gamma 90.00
_space_group_name_H-M_alt 'P 1'
_space_group_IT_number 1
loop_
_space_group_symop_operation_xyz
'x,y,z'
loop_
_atom_site_label
_atom_site_fract_x
_atom_site_fract_y
_atom_site_fract_z
Zn1 0.181 0.250 0.278
Zn2 0.819 0.750 0.722
Ga1 0.029 0.250 0.770
Ga2 0.971 0.750 0.230
Au1 0.309 0.536 0.623
Au2 0.309 0.964 0.623
Au3 0.359 0.750 0.037
Au4 0.641 0.250 0.963
Au5 0.691 0.036 0.377
Au6 0.691 0.464 0.377